[1]
! TbYMnGa (PBE, relaxed); values from VASP
! * space group: F-43m (216)
&SYSTEM
  ibrav = 0, nat = 4, ntyp = 4
/
ATOMIC_SPECIES
Tb 158.93 Tb.upf
Y 88.91 Y.upf
Mn 54.94 Mn.upf
Ga 69.72 Ga.upf
CELL_PARAMETERS angstrom
0.0000 3.5787 3.5787
3.5787 0.0000 3.5787
3.5787 3.5787 0.0000
ATOMIC_POSITIONS crystal
Tb 0.0000 0.0000 0.0000
Y 0.5000 0.5000 0.5000
Mn 0.7500 0.7500 0.7500
Ga 0.2500 0.2500 0.2500

***

[2]
! TbMnZnGa (PBE, relaxed); values from VASP
! * space group: F-43m (216)
&SYSTEM
  ibrav = 0, nat = 4, ntyp = 4
/
ATOMIC_SPECIES
Tb 158.93 Tb.upf
Mn 54.94 Mn.upf
Zn 65.41 Zn.upf
Ga 69.72 Ga.upf
CELL_PARAMETERS angstrom
0.0000 3.3215 3.3215
3.3215 0.0000 3.3215
3.3215 3.3215 0.0000
ATOMIC_POSITIONS crystal
Tb 0.0000 0.0000 0.0000
Mn 0.5000 0.5000 0.5000
Zn 0.7500 0.7500 0.7500
Ga 0.2500 0.2500 0.2500

***

[3]
! MnGaTc3 (PBE, relaxed); values from VASP
! * space group: Pm-3m (221)
! * relative energy among the computed polymorphs: 0.0 meV/atom
&SYSTEM
  ibrav = 0, nat = 5, ntyp = 3
/
ATOMIC_SPECIES
Mn 54.94 Mn.upf
Ga 69.72 Ga.upf
Tc 98.00 Tc.upf
CELL_PARAMETERS angstrom
4.4070 0.0000 0.0000
0.0000 4.4070 0.0000
0.0000 0.0000 4.4070
ATOMIC_POSITIONS crystal
Mn 0.0000 0.0000 0.0000
Ga 0.5000 0.5000 0.5000
Tc 0.0000 0.0000 0.5000
Tc 0.0000 0.5000 0.0000
Tc 0.5000 0.0000 0.0000

***

[4]
! MnGaTc2 (PBE, relaxed); values from VASP
! * space group: Cm (8)
&SYSTEM
  ibrav = 0, nat = 4, ntyp = 3
/
ATOMIC_SPECIES
Mn 54.94 Mn.upf
Ga 69.72 Ga.upf
Tc 98.00 Tc.upf
CELL_PARAMETERS angstrom
2.4197 -1.3551 0.0000
2.4197 1.3551 0.0000
-1.5684 0.0000 8.4291
ATOMIC_POSITIONS crystal
Mn 0.0000 0.0000 0.0000
Ga 0.8028 0.8028 0.4995
Tc 0.2264 0.2264 0.7650
Tc 0.3751 0.3751 0.2361

***

[5]
! MnGaTc3 (PBE, relaxed); values from VASP
! * space group: Pm-3m (221)
! * relative energy among the computed polymorphs: 726.1 meV/atom
&SYSTEM
  ibrav = 0, nat = 5, ntyp = 3
/
ATOMIC_SPECIES
Mn 54.94 Mn.upf
Ga 69.72 Ga.upf
Tc 98.00 Tc.upf
CELL_PARAMETERS angstrom
4.4420 0.0000 0.0000
0.0000 4.4420 0.0000
0.0000 0.0000 4.4420
ATOMIC_POSITIONS crystal
Mn 0.0000 0.0000 0.0000
Ga 0.5000 0.5000 0.5000
Tc 0.0000 0.5000 0.5000
Tc 0.5000 0.0000 0.5000
Tc 0.5000 0.5000 0.0000

***

[6]
! MnGaTc2 (PBE, relaxed); values from VASP
! * space group: R-3m (166)
&SYSTEM
  ibrav = 0, nat = 4, ntyp = 3
/
ATOMIC_SPECIES
Mn 54.94 Mn.upf
Ga 69.72 Ga.upf
Tc 98.00 Tc.upf
CELL_PARAMETERS angstrom
1.3706 0.7913 8.8752
-1.3706 0.7913 8.8752
0.0000 -1.5826 8.8752
ATOMIC_POSITIONS crystal
Mn 0.0000 0.0000 0.0000
Ga 0.5000 0.5000 0.5000
Tc 0.0839 0.0839 0.0839
Tc 0.9161 0.9161 0.9161

***

[7]
! MnGaTc2 (PBE, relaxed); values from VASP
! * space group: P4/mmm (123)
&SYSTEM
  ibrav = 0, nat = 4, ntyp = 3
/
ATOMIC_SPECIES
Mn 54.94 Mn.upf
Ga 69.72 Ga.upf
Tc 98.00 Tc.upf
CELL_PARAMETERS angstrom
2.7991 0.0000 0.0000
0.0000 2.7991 0.0000
0.0000 0.0000 6.9396
ATOMIC_POSITIONS crystal
Mn 0.0000 0.0000 0.0000
Ga 0.0000 0.0000 0.5000
Tc 0.5000 0.5000 0.2342
Tc 0.5000 0.5000 0.7658

***

[8]
! Mn2Ga2Tc (PBE, relaxed); values from VASP
! * space group: P4/mbm (127)
&SYSTEM
  ibrav = 0, nat = 10, ntyp = 3
/
ATOMIC_SPECIES
Mn 54.94 Mn.upf
Ga 69.72 Ga.upf
Tc 98.00 Tc.upf
CELL_PARAMETERS angstrom
6.7535 0.0000 0.0000
0.0000 6.7535 0.0000
0.0000 0.0000 3.0795
ATOMIC_POSITIONS crystal
Mn 0.1678 0.3322 0.0000
Mn 0.3322 0.8322 0.0000
Mn 0.6678 0.1678 0.0000
Mn 0.8322 0.6678 0.0000
Ga 0.1341 0.6341 0.5000
Ga 0.3659 0.1341 0.5000
Ga 0.6341 0.8659 0.5000
Ga 0.8659 0.3659 0.5000
Tc 0.0000 0.0000 0.5000
Tc 0.5000 0.5000 0.5000

***

Number 1: formation enthalpy at 0 K -164 meV/atom. Number 2: formation enthalpy at 0 K -206 meV/atom. Number 3: formation enthalpy at 0 K 1120 meV/atom. Number 4: formation enthalpy at 0 K 44 meV/atom. Number 5: formation enthalpy at 0 K 1846 meV/atom. Number 6: formation enthalpy at 0 K 452 meV/atom. Number 7: formation enthalpy at 0 K 0 meV/atom. Number 8: formation enthalpy at 0 K 20 meV/atom.